1.
Below is a relaxed AlAs2W crystal, with properties calculated at the GGA-PBE level.

a = 3.308 Å, b = 3.308 Å, c = 6.794 Å
α = 90.00°, β = 90.00°, γ = 90.00°
Positions (direct):
1 Al 0.000 0.000 0.000
2 As 0.000 0.000 0.603
3 As 0.500 0.500 0.179
4 W 0.500 0.500 0.782

**Energy above the lowest structure with this stoichiometry**: 35.9 meV/atom


2.
Below is a relaxed BaNp3Cu4S12 crystal, with properties calculated at the GGA-PBE level.

a = 8.466 Å, b = 8.466 Å, c = 8.466 Å
α = 106.29°, β = 106.29°, γ = 106.29°
Positions (direct):
1 Ba 0.000 0.000 0.000
2 Np 0.000 0.564 0.436
3 Np 0.436 0.000 0.564
4 Np 0.564 0.436 0.000
5 Cu 0.070 0.500 0.930
6 Cu 0.500 0.500 0.500
7 Cu 0.500 0.930 0.070
8 Cu 0.930 0.070 0.500
9 S 0.034 0.646 0.755
10 S 0.095 0.905 0.500
11 S 0.245 0.354 0.966
12 S 0.339 0.661 0.500
13 S 0.354 0.966 0.245
14 S 0.500 0.095 0.905
15 S 0.500 0.339 0.661
16 S 0.646 0.755 0.034
17 S 0.661 0.500 0.339
18 S 0.755 0.034 0.646
19 S 0.905 0.500 0.095
20 S 0.966 0.245 0.354

**Uncorrected formation energy**: -744 meV per atom


For reference, total magnetic moment by record: 0.00 0.14 μB/atom.